1.
Below is a crystal of YCr4Co relaxed with PBEsol, with properties calculated at the SCAN level.

Output
Space-group type: F-43m
DFT formation energy in eV/atom: 0.559
Fermi-level density of states in states/eV/f.u.: 7.521
Raw total energy in eV/atom: -19.221

Unit cell a=4.860 b=4.860 c=4.860 alpha=60.00 beta=60.00 gamma=60.00
Element x y z (fractional)
Y: 0.250 0.250 0.250
Cr: 0.625 0.625 0.625
Cr: 0.625 0.126 0.625
Cr: 0.126 0.625 0.625
Cr: 0.625 0.625 0.126
Co: 0.000 0.000 0.000


2.
Below is a crystal of Y3CrCo relaxed with PBEsol, with properties calculated at the SCAN level.

Output
Space-group type: Pm-3m
DFT formation energy in eV/atom: 0.785
Fermi-level density of states in states/eV/f.u.: 3.952
Raw total energy in eV/atom: -23.059

Unit cell a=4.953 b=4.953 c=4.953 alpha=90.00 beta=90.00 gamma=90.00
Element x y z (fractional)
Y: 0.500 0.000 0.000
Y: 0.000 0.500 0.000
Y: 0.000 0.000 0.500
Cr: 0.000 0.000 0.000
Co: 0.500 0.500 0.500


3.
Below is a crystal of ZnCrCo2 relaxed with PBEsol, with properties calculated at the SCAN level.

Output
Space-group type: F-43m
DFT formation energy in eV/atom: 0.150
Fermi-level density of states in states/eV/f.u.: 3.221
Raw total energy in eV/atom: -16.477

Unit cell a=3.988 b=3.988 c=3.988 alpha=60.00 beta=60.00 gamma=60.00
Element x y z (fractional)
Co: 0.750 0.750 0.750
Co: 0.000 0.000 0.000
Cr: 0.500 0.500 0.500
Zn: 0.250 0.250 0.250


4.
Below is a crystal of ZnCr2Co relaxed with PBEsol, with properties calculated at the SCAN level.

Output
Space-group type: Cmm2
DFT formation energy in eV/atom: 0.092
Fermi-level density of states in states/eV/f.u.: 2.701
Raw total energy in eV/atom: -16.805

Unit cell a=2.443 b=2.443 c=8.040 alpha=90.00 beta=90.00 gamma=108.34
Element x y z (fractional)
Cr: 0.000 0.000 0.004
Cr: 0.500 0.500 0.763
Zn: 0.000 0.000 0.494
Co: 0.500 0.500 0.239